No. 1
Below is a relaxed ScCN3 crystal, with properties calculated at the PBE level.

Calculated values
- Energy relative to the elements, uncorrected: 2.66 eV per atom
- N(E_F): 0.570 states/eV per atom
- Symmetry: Pm-3m
- Size of the total moment: 3.980 μB per formula unit

```
ScCN3
1.0
4.180 0.000 0.000
0.000 4.180 0.000
0.000 0.000 4.180
C Sc N
1 1 3
direct
0.500 0.500 0.500
0.000 0.000 0.000
0.500 0.000 0.000
0.000 0.000 0.500
0.000 0.500 0.000
```

No. 2
Below is a relaxed KHgPb2 crystal, with properties calculated at the PBE level.

Calculated values
- ΔH_f (0 K): -3 kJ per mole of atoms
- N(E_F): 0.639 states/eV per atom
- Symmetry: I4/mmm
- Size of the total moment: 0.000 μB per formula unit

```
KHgPb2
1.0
6.596 0.016 0.000
3.136 5.802 0.000
-4.866 -2.909 3.371
Pb Hg K
2 1 1
direct
0.000 0.000 0.000
0.500 0.500 0.000
0.250 0.750 0.500
0.750 0.250 0.500
```

No. 3
Below is a relaxed CaSc2Ir2 crystal, with properties calculated at the PBE level.

Calculated values
- ΔH_f (0 K): -67 kJ per mole of atoms
- N(E_F): 0.580 states/eV per atom
- Symmetry: P4/mbm
- E above lowest polymorph: 22 meV/atom
- Size of the total moment: 0.000 μB per formula unit

```
CaSc2Ir2
1.0
7.898 0.000 0.000
0.000 7.898 0.000
0.000 0.000 3.179
Ir Ca Sc
4 2 4
direct
0.350 0.850 0.000
0.650 0.150 0.000
0.850 0.650 0.000
0.150 0.350 0.000
0.000 0.000 0.000
0.500 0.500 0.000
0.858 0.358 0.500
0.642 0.858 0.500
0.358 0.142 0.500
0.142 0.642 0.500
```

No. 4
Below is a relaxed Ti2HgAu crystal, with properties calculated at the PBE level.

Calculated values
- ΔH_f (0 K): -17 kJ per mole of atoms
- N(E_F): 0.777 states/eV per atom
- Symmetry: P4/mmm
- Size of the total moment: 1.884 μB per formula unit

```
Ti2HgAu
1.0
4.017 0.000 0.000
0.000 4.241 0.000
0.000 0.000 4.241
Au Hg Ti
1 1 2
direct
0.500 0.000 0.000
0.500 0.500 0.500
0.000 0.000 0.500
0.000 0.500 0.000
```

No. 5
Below is a relaxed Y8Hg2Pt crystal, with properties calculated at the PBE level.

Calculated values
- ΔH_f (0 K): -39 kJ per mole of atoms
- N(E_F): 0.840 states/eV per atom
- Symmetry: C2/m
- Size of the total moment: 0.000 μB per formula unit

```
Y8Hg2Pt
1.0
5.174 0.000 0.000
0.000 6.852 0.336
-2.587 -2.525 8.633
Y Hg Pt
8 2 1
direct
0.204 0.320 0.409
0.024 0.777 0.047
0.976 0.223 0.953
0.412 0.560 0.823
0.344 0.031 0.689
0.588 0.440 0.177
0.656 0.969 0.311
0.796 0.680 0.591
0.189 0.738 0.378
0.811 0.262 0.622
0.500 0.000 0.000
```

No. 6
Below is a relaxed Pu2ThSc12 crystal, with properties calculated at the PBE level.

Calculated values
- ΔH_f (0 K): 35 kJ per mole of atoms
- N(E_F): 1.982 states/eV per atom
- Symmetry: P4/nbm
- Size of the total moment: 15.063 μB per formula unit

```
Pu2ThSc12
1.0
-1.105 4.730 -3.255
3.055 -2.323 -4.412
-19.682 -10.261 -8.225
Pu Sc Th
4 24 2
direct
0.000 0.500 0.278
0.500 0.000 0.278
0.000 0.500 0.722
0.500 0.000 0.722
0.170 0.670 0.559
0.170 0.330 0.441
0.830 0.670 0.441
0.000 0.000 0.343
0.316 0.184 0.884
0.000 0.000 0.785
0.684 0.816 0.884
0.500 0.500 0.785
0.670 0.830 0.559
0.000 0.000 0.215
0.330 0.170 0.559
0.670 0.170 0.441
0.000 0.000 0.657
0.816 0.316 0.884
0.184 0.684 0.884
0.500 0.500 0.343
0.330 0.830 0.441
0.316 0.816 0.116
0.500 0.500 0.215
0.184 0.316 0.116
0.684 0.184 0.116
0.816 0.684 0.116
0.500 0.500 0.657
0.830 0.330 0.559
0.000 0.500 0.000
0.500 0.000 0.000
```

No. 7
Below is a relaxed VTcPRu crystal, with properties calculated at the PBE level.

Calculated values
- ΔH_f (0 K): -32 kJ per mole of atoms
- N(E_F): 0.672 states/eV per atom
- Symmetry: F-43m
- Size of the total moment: 0.989 μB per formula unit

```
VTcPRu
1.0
4.196 0.000 0.000
2.098 3.634 0.000
2.098 1.211 3.426
Ru Tc V P
1 1 1 1
direct
0.750 0.750 0.750
0.250 0.250 0.250
0.000 0.000 0.000
0.500 0.500 0.500
```

No. 8
Below is a relaxed TlSnHg3 crystal, with properties calculated at the PBE level.

Calculated values
- ΔH_f (0 K): 17 kJ per mole of atoms
- N(E_F): 0.563 states/eV per atom
- Symmetry: Pm-3m
- E above lowest polymorph: 130 meV/atom
- Size of the total moment: 0.000 μB per formula unit

```
TlSnHg3
1.0
-2.740 -2.560 4.301
-2.228 -3.767 -3.662
4.482 -3.438 0.809
Hg Sn Tl
3 1 1
direct
0.000 0.000 0.500
0.500 0.000 0.000
0.000 0.500 0.000
0.000 0.000 0.000
0.500 0.500 0.500
```

No. 9
Below is a relaxed Ac3SiRh crystal, with properties calculated at the PBE level.

Calculated values
- Energy relative to the elements, uncorrected: -0.46 eV per atom
- N(E_F): 0.731 states/eV per atom
- Symmetry: P2_1/c
- E above lowest polymorph: 50 meV/atom
- Size of the total moment: 0.000 μB per formula unit

```
Ac3SiRh
1.0
7.129 0.000 0.000
0.000 10.579 0.713
0.000 -3.556 8.536
Si Rh Ac
4 4 12
direct
0.672 0.004 0.518
0.828 0.504 0.518
0.328 0.996 0.482
0.172 0.496 0.482
0.734 0.108 0.083
0.234 0.392 0.917
0.766 0.608 0.083
0.266 0.892 0.917
0.939 0.975 0.789
0.465 0.762 0.618
0.946 0.362 0.134
0.965 0.738 0.382
0.554 0.862 0.134
0.061 0.025 0.211
0.439 0.525 0.211
0.535 0.238 0.382
0.446 0.138 0.866
0.054 0.638 0.866
0.035 0.262 0.618
0.561 0.475 0.789
```

No. 10
Below is a relaxed BaTl2Co crystal, with properties calculated at the PBE level.

Calculated values
- ΔH_f (0 K): 18 kJ per mole of atoms
- N(E_F): 1.034 states/eV per atom
- Symmetry: Immm
- Size of the total moment: 1.224 μB per formula unit

```
BaTl2Co
1.0
-4.720 -3.120 -2.518
1.674 -2.728 -5.301
1.053 0.243 6.098
Co Ba Tl
1 1 2
direct
0.250 0.750 0.500
0.750 0.250 0.500
0.053 0.053 0.000
0.447 0.447 0.000
```

So what do the calculations give for volume? Going down the list: 73.0; 128.8; 198.3; 72.3; 310.5; 809.4; 52.2; 185.8; 661.8; 113.4 Å³ per cell.